Entry from the Alexandria database: a geometry-optimized CoCN2F structure (PBE with a Hubbard U).

Unit cell a=3.6319 b=3.6319 c=3.9208 alpha=90.00 beta=90.00 gamma=90.00
Atoms (fractional coordinates):
1 Co 0.0000 0.0000 0.0000
2 C 0.5000 0.5000 0.5000
3 N 0.0000 0.5000 0.0000
4 N 0.5000 0.0000 0.0000
5 F 0.0000 0.0000 0.5000

## Properties
As for the relative energy among the computed polymorphs: 0.799 eV per atom. The mass density is 3.787 g/cm3. Its space-group type is P4/mmm (123).